[1]
Material: Tm2Ga3Cu5
Method: DFT, PBE-GGA
State: optimized geometry

Values from the calculation:
ΔE to the lowest computed polymorph (kJ per mole of atoms): 0.0
Symmetry: No. 72
DOS at the Fermi energy (states/eV per cell): 9.68
Size of the total moment (μB per cell): 0.0
Formation energy (kJ/mol of formula units): -324
Electronic total energy (hartree per atom): -0.1538

```
data_Tm2Ga3Cu5
_chemical_formula_sum 'Tm4 Ga6 Cu10'
_cell_length_a 8.182
_cell_length_b 8.182
_cell_length_c 8.182
_cell_angle_alpha 101.75
_cell_angle_beta 92.17
_cell_angle_gamma 139.33
_symmetry_space_group_name_H-M 'P 1'
_symmetry_Int_Tables_number 1
_symmetry_space_group_name_Hall 'P 1'
loop_
_atom_site_label
_atom_site_fract_x
_atom_site_fract_y
_atom_site_fract_z
Tm1 0.126 0.237 0.363
Tm2 0.374 0.737 0.111
Tm3 0.626 0.263 0.889
Tm4 0.874 0.763 0.637
Ga1 0.133 0.876 0.010
Ga2 0.250 0.750 0.500
Ga3 0.367 0.376 0.743
Ga4 0.633 0.624 0.257
Ga5 0.750 0.250 0.500
Ga6 0.867 0.124 0.990
Cu1 0.016 0.750 0.266
Cu2 0.118 0.648 0.766
Cu3 0.250 0.250 0.000
Cu4 0.382 0.148 0.529
Cu5 0.484 0.750 0.734
Cu6 0.516 0.250 0.266
Cu7 0.618 0.852 0.471
Cu8 0.750 0.750 0.000
Cu9 0.882 0.352 0.234
Cu10 0.984 0.250 0.734
```

---

[2]
Material: Tm2Ga9Cu
Method: DFT, PBE-GGA
State: optimized geometry

Values from the calculation:
Symmetry: No. 123
DOS at the Fermi energy (states/eV per cell): 3.20
Size of the total moment (μB per cell): 0.0
Formation energy (kJ/mol of formula units): -370
Electronic total energy (hartree per atom): -0.1351

```
data_Tm2Ga9Cu
_chemical_formula_sum 'Tm2 Ga9 Cu1'
_cell_length_a 4.218
_cell_length_b 4.218
_cell_length_c 12.246
_cell_angle_alpha 90.00
_cell_angle_beta 90.00
_cell_angle_gamma 90.00
_symmetry_space_group_name_H-M 'P 1'
_symmetry_Int_Tables_number 1
_symmetry_space_group_name_Hall 'P 1'
loop_
_atom_site_label
_atom_site_fract_x
_atom_site_fract_y
_atom_site_fract_z
Tm1 0.000 0.000 0.177
Tm2 0.000 0.000 0.823
Ga1 0.000 0.500 0.000
Ga2 0.000 0.500 0.356
Ga3 0.000 0.500 0.644
Ga4 0.500 0.000 0.000
Ga5 0.500 0.000 0.356
Ga6 0.500 0.000 0.644
Ga7 0.500 0.500 0.164
Ga8 0.500 0.500 0.500
Ga9 0.500 0.500 0.836
Cu1 0.000 0.000 0.500
```

---

[3]
Material: Tm2GaCu
Method: DFT, PBE-GGA
State: optimized geometry

Values from the calculation:
Symmetry: No. 225
DOS at the Fermi energy (states/eV per cell): 1.93
Size of the total moment (μB per cell): 0.0
Formation energy (kJ/mol of formula units): -170
Electronic total energy (hartree per atom): -0.1638

```
data_Tm2GaCu
_chemical_formula_sum 'Tm2 Ga1 Cu1'
_cell_length_a 4.926
_cell_length_b 4.926
_cell_length_c 4.926
_cell_angle_alpha 60.00
_cell_angle_beta 60.00
_cell_angle_gamma 60.00
_symmetry_space_group_name_H-M 'P 1'
_symmetry_Int_Tables_number 1
_symmetry_space_group_name_Hall 'P 1'
loop_
_atom_site_label
_atom_site_fract_x
_atom_site_fract_y
_atom_site_fract_z
Tm1 0.250 0.250 0.250
Tm2 0.750 0.750 0.750
Ga1 0.000 0.000 0.000
Cu1 0.500 0.500 0.500
```

---

[4]
Material: Tm5Ga4Cu
Method: DFT, PBE-GGA
State: optimized geometry

Values from the calculation:
Symmetry: No. 123
DOS at the Fermi energy (states/eV per cell): 6.49
Size of the total moment (μB per cell): 0.0
Formation energy (kJ/mol of formula units): -491
Electronic total energy (hartree per atom): -0.1604

```
data_Tm5Ga4Cu
_chemical_formula_sum 'Tm5 Ga4 Cu1'
_cell_length_a 3.479
_cell_length_b 3.479
_cell_length_c 17.833
_cell_angle_alpha 90.00
_cell_angle_beta 90.00
_cell_angle_gamma 90.00
_symmetry_space_group_name_H-M 'P 1'
_symmetry_Int_Tables_number 1
_symmetry_space_group_name_Hall 'P 1'
loop_
_atom_site_label
_atom_site_fract_x
_atom_site_fract_y
_atom_site_fract_z
Tm1 0.000 0.000 0.000
Tm2 0.000 0.000 0.202
Tm3 0.000 0.000 0.405
Tm4 0.000 0.000 0.595
Tm5 0.000 0.000 0.798
Ga1 0.500 0.500 0.101
Ga2 0.500 0.500 0.304
Ga3 0.500 0.500 0.696
Ga4 0.500 0.500 0.899
Cu1 0.500 0.500 0.500
```

---

[5]
Material: TmGaCu
Method: DFT, PBE-GGA
State: optimized geometry

Values from the calculation:
Symmetry: No. 107
DOS at the Fermi energy (states/eV per cell): 2.52
Size of the total moment (μB per cell): 0.0
Formation energy (kJ/mol of formula units): -80
Electronic total energy (hartree per atom): -0.1521

```
data_TmGaCu
_chemical_formula_sum 'Tm1 Ga1 Cu1'
_cell_length_a 5.711
_cell_length_b 5.711
_cell_length_c 5.711
_cell_angle_alpha 146.96
_cell_angle_beta 146.96
_cell_angle_gamma 47.42
_symmetry_space_group_name_H-M 'P 1'
_symmetry_Int_Tables_number 1
_symmetry_space_group_name_Hall 'P 1'
loop_
_atom_site_label
_atom_site_fract_x
_atom_site_fract_y
_atom_site_fract_z
Tm1 0.000 0.000 0.000
Ga1 0.696 0.696 0.000
Cu1 0.318 0.318 0.000
```

---

[6]
Material: TmGa2Cu4
Method: DFT, PBE-GGA
State: optimized geometry

Values from the calculation:
ΔE to the lowest computed polymorph (kJ per mole of atoms): 46.9
Symmetry: No. 139
DOS at the Fermi energy (states/eV per cell): 3.41
Size of the total moment (μB per cell): 0.0
Formation energy (kJ/mol of formula units): 145
Electronic total energy (hartree per atom): -0.1334

```
data_TmGa2Cu4
_chemical_formula_sum 'Tm1 Ga2 Cu4'
_cell_length_a 5.760
_cell_length_b 5.760
_cell_length_c 5.760
_cell_angle_alpha 101.97
_cell_angle_beta 101.97
_cell_angle_gamma 125.82
_symmetry_space_group_name_H-M 'P 1'
_symmetry_Int_Tables_number 1
_symmetry_space_group_name_Hall 'P 1'
loop_
_atom_site_label
_atom_site_fract_x
_atom_site_fract_y
_atom_site_fract_z
Tm1 0.000 0.000 0.000
Ga1 0.250 0.750 0.500
Ga2 0.750 0.250 0.500
Cu1 0.275 0.500 0.775
Cu2 0.500 0.275 0.775
Cu3 0.500 0.725 0.225
Cu4 0.725 0.500 0.225
```

---

Q: Which of these has the lowest electronic total energy?
A: Tm2GaCu